Computed, not measured: Tb5DyY5 after structural relaxation at the PBE-GGA level of DFT.

Excess energy over the best structure of this formula in the dataset   0.000 eV per atom
Volume   363 Å³/f.u.

a = 6.8552 Å, b = 6.8787 Å, c = 8.6325 Å
α = 74.60°, β = 75.18°, γ = 69.97°
Space group P-1 (No. 2)
Unique sites:
1 Tb 0.0000 0.0000 0.0000 (multiplicity 1)
2 Tb 0.2722 0.3487 0.7290 (multiplicity 2)
3 Tb 0.3540 0.8536 0.6358 (multiplicity 2)
4 Dy 0.5000 0.0000 0.0000 (multiplicity 1)
5 Y 0.1487 0.2242 0.2733 (multiplicity 2)
6 Y 0.1871 0.6799 0.3650 (multiplicity 2)
7 Y 0.5000 0.5000 0.0000 (multiplicity 1)

---

Computed, not measured: Re2RuAu after structural relaxation at the PBE-GGA level of DFT.

Excess energy over the best structure of this formula in the dataset   0.175 eV per atom
Volume   61 Å³/f.u.

a = 3.8445 Å, b = 3.8445 Å, c = 8.2060 Å
α = 90.00°, β = 90.00°, γ = 90.00°
Space group I4/mmm (No. 139)
Unique sites:
1 Re 0.0000 0.5000 0.2500 (multiplicity 4)
2 Ru 0.0000 0.0000 0.0000 (multiplicity 2)
3 Au 0.0000 0.0000 0.5000 (multiplicity 2)

---

Computed, not measured: Tb4CeBi5 after structural relaxation at the PBE-GGA level of DFT.

E_tot   -104.96 eV/cell
Volume   325 Å³/f.u.

a = 4.5152 Å, b = 6.3819 Å, c = 22.5672 Å
α = 90.00°, β = 90.00°, γ = 90.00°
Space group Immm (No. 71)
Unique sites:
1 Tb 0.0000 0.0000 0.1008 (multiplicity 4)
2 Tb 0.0000 0.0000 0.2982 (multiplicity 4)
3 Ce 0.0000 0.0000 0.5000 (multiplicity 2)
4 Bi 0.0000 0.5000 0.1018 (multiplicity 4)
5 Bi 0.0000 0.5000 0.3003 (multiplicity 4)
6 Bi 0.0000 0.5000 0.5000 (multiplicity 2)

---

Computed, not measured: KNaSr2 after structural relaxation at the PBE-GGA level of DFT.

E_tot   -16.73 eV/cell
Volume   219 Å³/f.u.

a = 4.2557 Å, b = 4.2557 Å, c = 41.8027 Å
α = 90.00°, β = 90.00°, γ = 120.00°
Space group R3m (No. 160, hexagonal axes)
Unique sites:
1 K 0.0000 0.0000 0.0000 (multiplicity 3)
2 Na 0.0000 0.0000 0.2509 (multiplicity 3)
3 Sr 0.0000 0.0000 0.4248 (multiplicity 3)
4 Sr 0.0000 0.0000 0.8408 (multiplicity 3)

---

Computed, not measured: AcTb5Nd2Ho after structural relaxation at the PBE-GGA level of DFT.

E_tot   -156.20 eV/cell
Volume   309 Å³/f.u.

a = 8.8763 Å, b = 8.8763 Å, c = 15.6802 Å
α = 90.00°, β = 90.00°, γ = 90.00°
Space group I4/mcm (No. 140)
Unique sites:
1 Ac 0.0000 0.0000 0.2500 (multiplicity 4)
2 Tb 0.0000 0.0000 0.0000 (multiplicity 4)
3 Tb 0.2065 0.2935 0.1333 (multiplicity 16)
4 Nd 0.1170 0.3830 0.5000 (multiplicity 8)
5 Ho 0.0000 0.5000 0.2500 (multiplicity 4)

---

Computed, not measured: SmCuSi after structural relaxation at the PBE-GGA level of DFT.

Uncorrected formation energy   -44 kJ per mole of atoms
Volume   61 Å³/f.u.

a = 6.2658 Å, b = 6.2658 Å, c = 6.2658 Å
α = 90.00°, β = 90.00°, γ = 90.00°
Space group F-43m (No. 216)
Unique sites:
1 Sm 0.0000 0.0000 0.0000 (multiplicity 4)
2 Cu 0.2500 0.2500 0.7500 (multiplicity 4)
3 Si 0.0000 0.0000 0.5000 (multiplicity 4)

---

Computed, not measured: CuPtS after structural relaxation at the PBE-GGA level of DFT.

Uncorrected formation energy   -18 kJ per mole of atoms
Excess energy over the best structure of this formula in the dataset   0.000 eV per atom
Volume   51 Å³/f.u.

a = 8.8608 Å, b = 3.5379 Å, c = 6.5700 Å
α = 90.00°, β = 93.28°, γ = 90.00°
Space group C2/m (No. 12)
Unique sites:
1 Cu 0.1871 0.0000 0.3586 (multiplicity 4)
2 Pt 0.0000 0.0000 0.0000 (multiplicity 2)
3 Pt 0.0000 0.5000 0.5000 (multiplicity 2)
4 S 0.1089 0.5000 0.8254 (multiplicity 4)

---

Computed, not measured: CeYMg2Hg4 after structural relaxation at the PBE-GGA level of DFT.

E_tot   -60.58 eV/cell
Volume   192 Å³/f.u.

a = 5.1284 Å, b = 5.1284 Å, c = 25.2360 Å
α = 90.00°, β = 90.00°, γ = 120.00°
Space group R-3m (No. 166, hexagonal axes)
Unique sites:
1 Ce 0.0000 0.0000 0.0000 (multiplicity 3)
2 Y 0.0000 0.0000 0.5000 (multiplicity 3)
3 Mg 0.0000 0.0000 0.2495 (multiplicity 6)
4 Hg 0.0000 0.0000 0.1269 (multiplicity 6)
5 Hg 0.0000 0.0000 0.3774 (multiplicity 6)

---

Computed, not measured: K2ZrCu after structural relaxation at the PBE-GGA level of DFT.

Excess energy over the best structure of this formula in the dataset   0.584 eV per atom
Volume   177 Å³/f.u.

a = 11.6914 Å, b = 11.6914 Å, c = 5.1759 Å
α = 90.00°, β = 90.00°, γ = 90.00°
Space group I-42d (No. 122)
Unique sites:
1 K 0.1178 0.7500 0.1250 (multiplicity 8)
2 Zr 0.0000 0.0000 0.5000 (multiplicity 4)
3 Cu 0.0000 0.0000 0.0000 (multiplicity 4)

---

Computed, not measured: GdLuGa4 after structural relaxation at the PBE-GGA level of DFT.

E_tot   -135.49 eV/cell
Volume   117 Å³/f.u.

a = 7.7682 Å, b = 7.7682 Å, c = 7.7682 Å
α = 90.00°, β = 90.00°, γ = 90.00°
Space group F-43m (No. 216)
Unique sites:
1 Gd 0.0000 0.0000 0.0000 (multiplicity 4)
2 Lu 0.2500 0.2500 0.7500 (multiplicity 4)
3 Ga 0.1250 0.1250 0.3750 (multiplicity 16)

---

Computed, not measured: Si23H4 after structural relaxation at the PBE-GGA level of DFT.

E_tot   -256.51 eV/cell
Volume   532 Å³/f.u.

a = 10.2063 Å, b = 10.2063 Å, c = 10.2063 Å
α = 90.00°, β = 90.00°, γ = 90.00°
Space group Pm-3n (No. 223)
Unique sites:
1 Si 0.0000 0.1170 0.3082 (multiplicity 24)
2 Si 0.0000 0.2500 0.5000 (multiplicity 6)
3 Si 0.1835 0.1835 0.1835 (multiplicity 16)
4 H 0.0000 0.0000 0.0000 (multiplicity 2)
5 H 0.0000 0.5000 0.2500 (multiplicity 6)

---

Computed, not measured: Sr7Mg2Cd2 after structural relaxation at the PBE-GGA level of DFT.

E_tot   -33.44 eV/cell
Volume   494 Å³/f.u.

a = 8.9621 Å, b = 12.9433 Å, c = 8.5175 Å
α = 90.00°, β = 90.00°, γ = 90.00°
Space group Cmmm (No. 65)
Unique sites:
1 Sr 0.0000 0.0000 0.0000 (multiplicity 2)
2 Sr 0.0000 0.5000 0.2497 (multiplicity 4)
3 Sr 0.2500 0.2500 0.2758 (multiplicity 8)
4 Mg 0.1677 0.0000 0.5000 (multiplicity 4)
5 Cd 0.0000 0.2896 0.0000 (multiplicity 4)

---

Computed, not measured: CsCu2Ag2 after structural relaxation at the PBE-GGA level of DFT.

Excess energy over the best structure of this formula in the dataset   0.000 eV per atom
Volume   148 Å³/f.u.

a = 4.9509 Å, b = 4.9509 Å, c = 12.0360 Å
α = 90.00°, β = 90.00°, γ = 90.00°
Space group I4/mmm (No. 139)
Unique sites:
1 Cs 0.0000 0.0000 0.0000 (multiplicity 2)
2 Cu 0.0000 0.5000 0.2500 (multiplicity 4)
3 Ag 0.0000 0.0000 0.3054 (multiplicity 4)

---

Computed, not measured: Co2TcMoN after structural relaxation at the PBE-GGA level of DFT.

Uncorrected formation energy   136 kJ per mole of atoms
Volume   74 Å³/f.u.

a = 4.4679 Å, b = 4.4679 Å, c = 3.7286 Å
α = 90.00°, β = 90.00°, γ = 90.00°
Space group P4/mmm (No. 123)
Unique sites:
1 Co 0.0000 0.5000 0.0000 (multiplicity 2)
2 Tc 0.0000 0.0000 0.0000 (multiplicity 1)
3 Mo 0.5000 0.5000 0.5000 (multiplicity 1)
4 N 0.0000 0.0000 0.5000 (multiplicity 1)

---

Computed, not measured: RbHfZn2N after structural relaxation at the PBE-GGA level of DFT.

Uncorrected formation energy   119 kJ per mole of atoms
Volume   99 Å³/f.u.

a = 4.3081 Å, b = 4.3081 Å, c = 5.3397 Å
α = 90.00°, β = 90.00°, γ = 90.00°
Space group P4/mmm (No. 123)
Unique sites:
1 Rb 0.0000 0.0000 0.0000 (multiplicity 1)
2 Hf 0.5000 0.5000 0.0000 (multiplicity 1)
3 Zn 0.0000 0.5000 0.5000 (multiplicity 2)
4 N 0.0000 0.0000 0.5000 (multiplicity 1)

---

Computed, not measured: LiTa2Ag after structural relaxation at the PBE-GGA level of DFT.

Excess energy over the best structure of this formula in the dataset   0.000 eV per atom
Volume   71 Å³/f.u.

a = 3.4211 Å, b = 4.4469 Å, c = 9.3495 Å
α = 90.00°, β = 90.00°, γ = 90.00°
Space group Cmm2 (No. 35)
Unique sites:
1 Li 0.0000 0.0000 0.0000 (multiplicity 2)
2 Ta 0.0000 0.0000 0.4896 (multiplicity 2)
3 Ta 0.0000 0.5000 0.7293 (multiplicity 2)
4 Ag 0.0000 0.5000 0.2340 (multiplicity 2)

---

Computed, not measured: PrSmGaGe after structural relaxation at the PBE-GGA level of DFT.

Excess energy over the best structure of this formula in the dataset   0.194 eV per atom
Volume   100 Å³/f.u.

a = 7.3718 Å, b = 7.3718 Å, c = 7.3718 Å
α = 90.00°, β = 90.00°, γ = 90.00°
Space group F-43m (No. 216)
Unique sites:
1 Pr 0.0000 0.0000 0.0000 (multiplicity 4)
2 Sm 0.0000 0.0000 0.5000 (multiplicity 4)
3 Ga 0.2500 0.2500 0.2500 (multiplicity 4)
4 Ge 0.2500 0.2500 0.7500 (multiplicity 4)

---

Computed, not measured: InPbBr2 after structural relaxation at the PBE-GGA level of DFT.

Uncorrected formation energy   -46 kJ per mole of atoms
Excess energy over the best structure of this formula in the dataset   0.061 eV per atom
Volume   141 Å³/f.u.

a = 8.8440 Å, b = 8.8339 Å, c = 3.5997 Å
α = 90.00°, β = 91.29°, γ = 90.00°
Space group C2/m (No. 12)
Unique sites:
1 In 0.0000 0.0000 0.0000 (multiplicity 2)
2 Pb 0.0000 0.5000 0.0000 (multiplicity 2)
3 Br 0.2500 0.2500 0.0000 (multiplicity 4)

---

Computed, not measured: Zr6InAu after structural relaxation at the PBE-GGA level of DFT.

Excess energy over the best structure of this formula in the dataset   0.000 eV per atom
Volume   174 Å³/f.u.

a = 5.5805 Å, b = 5.5805 Å, c = 5.5805 Å
α = 90.00°, β = 90.00°, γ = 90.00°
Space group Pm-3 (No. 200)
Unique sites:
1 Zr 0.0000 0.2464 0.5000 (multiplicity 6)
2 In 0.5000 0.5000 0.5000 (multiplicity 1)
3 Au 0.0000 0.0000 0.0000 (multiplicity 1)

---

Computed, not measured: LaPmEr after structural relaxation at the PBE-GGA level of DFT.

Excess energy over the best structure of this formula in the dataset   0.046 eV per atom
Volume   101 Å³/f.u.

a = 5.7611 Å, b = 5.7611 Å, c = 3.5088 Å
α = 90.00°, β = 90.00°, γ = 120.00°
Space group P-6m2 (No. 187)
Unique sites:
1 La 0.0000 0.0000 0.0000 (multiplicity 1)
2 Pm 0.6667 0.3333 0.5000 (multiplicity 1)
3 Er 0.3333 0.6667 0.0000 (multiplicity 1)

---

Computed, not measured: CsBe3Co after structural relaxation at the PBE-GGA level of DFT.

Excess energy over the best structure of this formula in the dataset   0.000 eV per atom
Volume   90 Å³/f.u.

a = 4.4808 Å, b = 4.4808 Å, c = 4.4808 Å
α = 90.00°, β = 90.00°, γ = 90.00°
Space group Pm-3m (No. 221)
Unique sites:
1 Cs 0.0000 0.0000 0.0000 (multiplicity 1)
2 Be 0.0000 0.5000 0.5000 (multiplicity 3)
3 Co 0.5000 0.5000 0.5000 (multiplicity 1)

---

Computed, not measured: Tm2Cr2Ni15 after structural relaxation at the PBE-GGA level of DFT.

E_tot   -356.28 eV/cell
Volume   238 Å³/f.u.

a = 8.2363 Å, b = 8.2363 Å, c = 12.1437 Å
α = 90.00°, β = 90.00°, γ = 120.00°
Space group R-3m (No. 166, hexagonal axes)
Unique sites:
1 Tm 0.0000 0.0000 0.1594 (multiplicity 6)
2 Cr 0.0000 0.0000 0.4198 (multiplicity 6)
3 Ni 0.0000 0.3054 0.5000 (multiplicity 18)
4 Ni 0.0000 0.5000 0.0000 (multiplicity 9)
5 Ni 0.0017 0.5008 0.3425 (multiplicity 18)

---

Computed, not measured: Mg2HgBr after structural relaxation at the PBE-GGA level of DFT.

Uncorrected formation energy   -33 kJ per mole of atoms
Excess energy over the best structure of this formula in the dataset   0.142 eV per atom
Volume   99 Å³/f.u.

a = 3.5466 Å, b = 4.7303 Å, c = 5.8837 Å
α = 90.00°, β = 90.00°, γ = 90.00°
Space group Pmmm (No. 47)
Unique sites:
1 Mg 0.0000 0.0000 0.0000 (multiplicity 1)
2 Mg 0.5000 0.5000 0.5000 (multiplicity 1)
3 Hg 0.0000 0.0000 0.5000 (multiplicity 1)
4 Br 0.5000 0.5000 0.0000 (multiplicity 1)